(1)
PrSm3Ho2Te6 | GGA-PBE | relaxed

## Properties
The calculation puts the density of states at the Fermi level at 6.81 states/eV/f.u. As for the uncorrected formation energy: -1347.4 meV/atom.

Cell and atoms, written as CIF:
```
data_PrSm3Ho2Te6
_chemical_formula_sum 'Pr1 Sm3 Ho2 Te6'
_cell_length_a 4.3918
_cell_length_b 8.9090
_cell_length_c 9.8749
_cell_angle_alpha 102.39
_cell_angle_beta 102.85
_cell_angle_gamma 90.00
_symmetry_space_group_name_H-M 'P 1'
_symmetry_Int_Tables_number 1
_symmetry_space_group_name_Hall 'P 1'
loop_
_atom_site_label
_atom_site_type_symbol
_atom_site_fract_x
_atom_site_fract_y
_atom_site_fract_z
Te1 Te 0.3284 0.9070 0.6568
Te2 Te 0.3301 0.4203 0.6603
Te3 Te 0.0046 0.2571 0.0093
Te4 Te 0.6716 0.0930 0.3432
Te5 Te 0.9954 0.7429 0.9907
Te6 Te 0.6699 0.5797 0.3397
Pr1 Pr 0.5000 0.0000 0.0000
Sm1 Sm 0.1597 0.8337 0.3194
Sm2 Sm 0.5000 0.5000 0.0000
Sm3 Sm 0.8403 0.1663 0.6806
Ho1 Ho 0.1645 0.3309 0.3291
Ho2 Ho 0.8355 0.6691 0.6709
```

---

(2)
Pr3SmHo3Te8 | GGA-PBE | relaxed

## Properties
The calculation puts the density of states at the Fermi level at 6.99 states/eV/f.u. As for the uncorrected formation energy: -1410.7 meV/atom.

Cell and atoms, written as CIF:
```
data_Pr3SmHo3Te8
_chemical_formula_sum 'Pr3 Sm1 Ho3 Te8'
_cell_length_a 8.8111
_cell_length_b 8.8117
_cell_length_c 8.8607
_cell_angle_alpha 119.81
_cell_angle_beta 90.00
_cell_angle_gamma 120.00
_symmetry_space_group_name_H-M 'P 1'
_symmetry_Int_Tables_number 1
_symmetry_space_group_name_Hall 'P 1'
loop_
_atom_site_label
_atom_site_type_symbol
_atom_site_fract_x
_atom_site_fract_y
_atom_site_fract_z
Te1 Te 0.7440 0.4879 0.2543
Te2 Te 0.7440 0.0103 0.2543
Te3 Te 0.2663 0.0103 0.2543
Te4 Te 0.7449 0.4899 0.7348
Te5 Te 0.2551 0.5101 0.2652
Te6 Te 0.2560 0.5121 0.7457
Te7 Te 0.7337 0.9897 0.7457
Te8 Te 0.2560 0.9897 0.7457
Ho1 Ho 0.0000 0.5000 0.5000
Ho2 Ho 0.5000 0.0000 0.5000
Ho3 Ho 0.5000 0.5000 0.5000
Pr1 Pr 0.0000 0.0000 0.0000
Pr2 Pr 0.0000 0.5000 0.0000
Pr3 Pr 0.5000 0.5000 0.0000
Sm1 Sm 0.0000 0.0000 0.5000
```

---

(3)
Pr2SmHoTe5 | GGA-PBE | relaxed

## Properties
The calculation puts the density of states at the Fermi level at 5.49 states/eV/f.u. As for the uncorrected formation energy: -855.4 meV/atom.

Cell and atoms, written as CIF:
```
data_Pr2SmHoTe5
_chemical_formula_sum 'Pr2 Sm1 Ho1 Te5'
_cell_length_a 5.5199
_cell_length_b 5.5199
_cell_length_c 11.7121
_cell_angle_alpha 90.00
_cell_angle_beta 90.00
_cell_angle_gamma 90.00
_symmetry_space_group_name_H-M 'P 1'
_symmetry_Int_Tables_number 1
_symmetry_space_group_name_Hall 'P 1'
loop_
_atom_site_label
_atom_site_type_symbol
_atom_site_fract_x
_atom_site_fract_y
_atom_site_fract_z
Pr1 Pr 0.5000 0.5000 0.6635
Pr2 Pr 0.5000 0.5000 0.3365
Ho1 Ho 0.0000 0.0000 0.5000
Sm1 Sm 0.0000 0.0000 0.0000
Te1 Te 0.5000 0.5000 0.0000
Te2 Te 0.5000 0.0000 0.5000
Te3 Te 0.0000 0.0000 0.2484
Te4 Te 0.0000 0.5000 0.5000
Te5 Te 0.0000 0.0000 0.7516
```

---

(4)
Pr2SmHo2Th2 | GGA-PBE | relaxed

## Properties
The calculation puts the density of states at the Fermi level at 9.57 states/eV/f.u. The formation energy comes out at 245.2 meV/atom.

Cell and atoms, written as CIF:
```
data_Pr2SmHo2Th2
_chemical_formula_sum 'Pr2 Sm1 Ho2 Th2'
_cell_length_a 5.6344
_cell_length_b 6.6103
_cell_length_c 11.7463
_cell_angle_alpha 134.78
_cell_angle_beta 90.00
_cell_angle_gamma 115.23
_symmetry_space_group_name_H-M 'P 1'
_symmetry_Int_Tables_number 1
_symmetry_space_group_name_Hall 'P 1'
loop_
_atom_site_label
_atom_site_type_symbol
_atom_site_fract_x
_atom_site_fract_y
_atom_site_fract_z
Ho1 Ho 0.4364 0.8728 0.8215
Ho2 Ho 0.5636 0.1272 0.1785
Th1 Th 0.7571 0.5143 0.5868
Th2 Th 0.2429 0.4857 0.4132
Pr1 Pr 0.2316 0.4632 0.1162
Pr2 Pr 0.7684 0.5368 0.8838
Sm1 Sm 0.0000 0.0000 0.5000
```

---

(5)
PrSmHo5Th2 | GGA-PBE | relaxed

## Properties
The calculation puts the density of states at the Fermi level at 12.67 states/eV/f.u. The formation energy comes out at 323.2 meV/atom.

Cell and atoms, written as CIF:
```
data_PrSmHo5Th2
_chemical_formula_sum 'Pr2 Sm2 Ho10 Th4'
_cell_length_a 8.9055
_cell_length_b 8.9055
_cell_length_c 9.8574
_cell_angle_alpha 116.85
_cell_angle_beta 116.85
_cell_angle_gamma 90.00
_symmetry_space_group_name_H-M 'P 1'
_symmetry_Int_Tables_number 1
_symmetry_space_group_name_Hall 'P 1'
loop_
_atom_site_label
_atom_site_type_symbol
_atom_site_fract_x
_atom_site_fract_y
_atom_site_fract_z
Th1 Th 0.6183 0.1183 0.0000
Th2 Th 0.3817 0.8817 0.0000
Th3 Th 0.8817 0.6183 0.0000
Th4 Th 0.1183 0.3817 0.0000
Sm1 Sm 0.7500 0.2500 0.5000
Sm2 Sm 0.2500 0.7500 0.5000
Ho1 Ho 0.4300 0.3428 0.2729
Ho2 Ho 0.3428 0.8428 0.2729
Ho3 Ho 0.6572 0.1572 0.7271
Ho4 Ho 0.9300 0.4300 0.2729
Ho5 Ho 0.8428 0.9300 0.2729
Ho6 Ho 0.5000 0.5000 0.0000
Ho7 Ho 0.0000 0.0000 0.0000
Ho8 Ho 0.0700 0.5700 0.7271
Ho9 Ho 0.5700 0.6572 0.7271
Ho10 Ho 0.1572 0.0700 0.7271
Pr1 Pr 0.7500 0.7500 0.5000
Pr2 Pr 0.2500 0.2500 0.5000
```

---

(6)
PrSm4Ho2Th | GGA-PBE | relaxed

## Properties
The calculation puts the density of states at the Fermi level at 11.44 states/eV/f.u. The formation energy comes out at 35.2 meV/atom.

Cell and atoms, written as CIF:
```
data_PrSm4Ho2Th
_chemical_formula_sum 'Pr1 Sm4 Ho2 Th1'
_cell_length_a 5.0999
_cell_length_b 5.0905
_cell_length_c 11.4363
_cell_angle_alpha 63.53
_cell_angle_beta 90.00
_cell_angle_gamma 90.00
_symmetry_space_group_name_H-M 'P 1'
_symmetry_Int_Tables_number 1
_symmetry_space_group_name_Hall 'P 1'
loop_
_atom_site_label
_atom_site_type_symbol
_atom_site_fract_x
_atom_site_fract_y
_atom_site_fract_z
Ho1 Ho 0.5000 0.0000 0.5000
Ho2 Ho 0.0000 0.0000 0.0000
Sm1 Sm 0.5000 0.7448 0.2552
Sm2 Sm 0.5000 0.2552 0.7448
Sm3 Sm 0.0000 0.7540 0.7458
Sm4 Sm 0.0000 0.2460 0.2542
Pr1 Pr 0.5000 0.5000 0.0000
Th1 Th 0.0000 0.5000 0.5000
```

---

(7)
Pr5SmHo2Th | GGA-PBE | relaxed

## Properties
The calculation puts the density of states at the Fermi level at 13.56 states/eV/f.u. The formation energy comes out at 158.0 meV/atom.

Cell and atoms, written as CIF:
```
data_Pr5SmHo2Th
_chemical_formula_sum 'Pr10 Sm2 Ho4 Th2'
_cell_length_a 5.7174
_cell_length_b 10.7349
_cell_length_c 10.6746
_cell_angle_alpha 90.00
_cell_angle_beta 90.00
_cell_angle_gamma 105.44
_symmetry_space_group_name_H-M 'P 1'
_symmetry_Int_Tables_number 1
_symmetry_space_group_name_Hall 'P 1'
loop_
_atom_site_label
_atom_site_type_symbol
_atom_site_fract_x
_atom_site_fract_y
_atom_site_fract_z
Ho1 Ho 0.1127 0.2254 0.7386
Ho2 Ho 0.1160 0.2320 0.3121
Ho3 Ho 0.8873 0.7746 0.2386
Ho4 Ho 0.8840 0.7680 0.8121
Sm1 Sm 0.4068 0.8135 0.4553
Sm2 Sm 0.5932 0.1865 0.9553
Pr1 Pr 0.7233 0.4467 0.8131
Pr2 Pr 0.2919 0.5837 0.7035
Pr3 Pr 0.2767 0.5533 0.3131
Pr4 Pr 0.6151 0.2301 0.5256
Pr5 Pr 0.0143 0.0286 0.0195
Pr6 Pr 0.7081 0.4163 0.2035
Pr7 Pr 0.4809 0.9617 0.7447
Pr8 Pr 0.9857 0.9714 0.5195
Pr9 Pr 0.3849 0.7699 0.0256
Pr10 Pr 0.5191 0.0383 0.2447
Th1 Th 0.8010 0.6021 0.5116
Th2 Th 0.1989 0.3979 0.0116
```

---

(8)
PrSm2HoTh | GGA-PBE | relaxed

## Properties
The calculation puts the density of states at the Fermi level at 6.78 states/eV/f.u. The formation energy comes out at 318.0 meV/atom.

Cell and atoms, written as CIF:
```
data_PrSm2HoTh
_chemical_formula_sum 'Pr2 Sm4 Ho2 Th2'
_cell_length_a 6.4704
_cell_length_b 8.6336
_cell_length_c 6.4046
_cell_angle_alpha 98.53
_cell_angle_beta 90.00
_cell_angle_gamma 90.00
_symmetry_space_group_name_H-M 'P 1'
_symmetry_Int_Tables_number 1
_symmetry_space_group_name_Hall 'P 1'
loop_
_atom_site_label
_atom_site_type_symbol
_atom_site_fract_x
_atom_site_fract_y
_atom_site_fract_z
Sm1 Sm 0.6873 0.6847 0.7976
Sm2 Sm 0.3127 0.3153 0.2024
Sm3 Sm 0.3127 0.6847 0.2976
Sm4 Sm 0.6873 0.3153 0.7024
Ho1 Ho 0.1714 0.5000 0.7500
Ho2 Ho 0.8286 0.5000 0.2500
Th1 Th 0.5474 0.0000 0.2500
Th2 Th 0.4526 0.0000 0.7500
Pr1 Pr 0.0000 0.0000 0.0000
Pr2 Pr 0.0000 0.0000 0.5000
```

---

(9)
Pr2SmHoTh | GGA-PBE | relaxed

## Properties
The calculation puts the density of states at the Fermi level at 8.88 states/eV/f.u. The formation energy comes out at 243.5 meV/atom.

Cell and atoms, written as CIF:
```
data_Pr2SmHoTh
_chemical_formula_sum 'Pr4 Sm2 Ho2 Th2'
_cell_length_a 8.5274
_cell_length_b 6.3700
_cell_length_c 6.6636
_cell_angle_alpha 103.14
_cell_angle_beta 90.00
_cell_angle_gamma 90.00
_symmetry_space_group_name_H-M 'P 1'
_symmetry_Int_Tables_number 1
_symmetry_space_group_name_Hall 'P 1'
loop_
_atom_site_label
_atom_site_type_symbol
_atom_site_fract_x
_atom_site_fract_y
_atom_site_fract_z
Pr1 Pr 0.6747 0.7158 0.6561
Pr2 Pr 0.6747 0.2842 0.8439
Pr3 Pr 0.3253 0.7158 0.1561
Pr4 Pr 0.3253 0.2842 0.3439
Th1 Th 0.0000 0.0000 0.0000
Th2 Th 0.0000 0.0000 0.5000
Ho1 Ho 0.0824 0.5000 0.7500
Ho2 Ho 0.9176 0.5000 0.2500
Sm1 Sm 0.6634 0.0000 0.2500
Sm2 Sm 0.3366 0.0000 0.7500
```

---

(10)
PrSm3HoTh | GGA-PBE | relaxed

## Properties
The calculation puts the density of states at the Fermi level at 8.91 states/eV/f.u. The formation energy comes out at 30.6 meV/atom.

Cell and atoms, written as CIF:
```
data_PrSm3HoTh
_chemical_formula_sum 'Pr2 Sm6 Ho2 Th2'
_cell_length_a 5.1188
_cell_length_b 8.0971
_cell_length_c 10.8414
_cell_angle_alpha 116.42
_cell_angle_beta 90.00
_cell_angle_gamma 90.00
_symmetry_space_group_name_H-M 'P 1'
_symmetry_Int_Tables_number 1
_symmetry_space_group_name_Hall 'P 1'
loop_
_atom_site_label
_atom_site_type_symbol
_atom_site_fract_x
_atom_site_fract_y
_atom_site_fract_z
Sm1 Sm 0.2500 0.1345 0.9561
Sm2 Sm 0.2500 0.6155 0.7947
Sm3 Sm 0.7500 0.3845 0.2053
Sm4 Sm 0.7500 0.3722 0.5446
Sm5 Sm 0.2500 0.6278 0.4554
Sm6 Sm 0.7500 0.8655 0.0439
Ho1 Ho 0.2500 0.1285 0.6282
Ho2 Ho 0.7500 0.8715 0.3718
Pr1 Pr 0.2500 0.1221 0.2923
Pr2 Pr 0.7500 0.8779 0.7077
Th1 Th 0.7500 0.3793 0.8783
Th2 Th 0.2500 0.6207 0.1217
```

---

Copy entry 9 word for word.
Pr2SmHoTh | GGA-PBE | relaxed

## Properties
The calculation puts the density of states at the Fermi level at 8.88 states/eV/f.u. The formation energy comes out at 243.5 meV/atom.

Cell and atoms, written as CIF:
```
data_Pr2SmHoTh
_chemical_formula_sum 'Pr4 Sm2 Ho2 Th2'
_cell_length_a 8.5274
_cell_length_b 6.3700
_cell_length_c 6.6636
_cell_angle_alpha 103.14
_cell_angle_beta 90.00
_cell_angle_gamma 90.00
_symmetry_space_group_name_H-M 'P 1'
_symmetry_Int_Tables_number 1
_symmetry_space_group_name_Hall 'P 1'
loop_
_atom_site_label
_atom_site_type_symbol
_atom_site_fract_x
_atom_site_fract_y
_atom_site_fract_z
Pr1 Pr 0.6747 0.7158 0.6561
Pr2 Pr 0.6747 0.2842 0.8439
Pr3 Pr 0.3253 0.7158 0.1561
Pr4 Pr 0.3253 0.2842 0.3439
Th1 Th 0.0000 0.0000 0.0000
Th2 Th 0.0000 0.0000 0.5000
Ho1 Ho 0.0824 0.5000 0.7500
Ho2 Ho 0.9176 0.5000 0.2500
Sm1 Sm 0.6634 0.0000 0.2500
Sm2 Sm 0.3366 0.0000 0.7500
```

---

What did the first record say?
PrSm3Ho2Te6 | GGA-PBE | relaxed

## Properties
The calculation puts the density of states at the Fermi level at 6.81 states/eV/f.u. As for the uncorrected formation energy: -1347.4 meV/atom.

Cell and atoms, written as CIF:
```
data_PrSm3Ho2Te6
_chemical_formula_sum 'Pr1 Sm3 Ho2 Te6'
_cell_length_a 4.3918
_cell_length_b 8.9090
_cell_length_c 9.8749
_cell_angle_alpha 102.39
_cell_angle_beta 102.85
_cell_angle_gamma 90.00
_symmetry_space_group_name_H-M 'P 1'
_symmetry_Int_Tables_number 1
_symmetry_space_group_name_Hall 'P 1'
loop_
_atom_site_label
_atom_site_type_symbol
_atom_site_fract_x
_atom_site_fract_y
_atom_site_fract_z
Te1 Te 0.3284 0.9070 0.6568
Te2 Te 0.3301 0.4203 0.6603
Te3 Te 0.0046 0.2571 0.0093
Te4 Te 0.6716 0.0930 0.3432
Te5 Te 0.9954 0.7429 0.9907
Te6 Te 0.6699 0.5797 0.3397
Pr1 Pr 0.5000 0.0000 0.0000
Sm1 Sm 0.1597 0.8337 0.3194
Sm2 Sm 0.5000 0.5000 0.0000
Sm3 Sm 0.8403 0.1663 0.6806
Ho1 Ho 0.1645 0.3309 0.3291
Ho2 Ho 0.8355 0.6691 0.6709
```